Material: Sm3Se2S
Method: DFT, PBE
State: optimized geometry

Values from the calculation:
The energy relative to the elements, uncorrected comes out at -1836 meV/atom. The polymorph energy (0 for the lowest one) is 0.274 eV/f.u. The calculation puts the total energy at -72.5 eV for the cell shown. The space group is No. 194. Its density of states at the Fermi level is 0.348 states/eV/atom.

abc: 4.0766 4.0766 20.8493
angles: 90.00 90.00 120.00
Closest atoms and distances in Å follow each position.
Element x y z (fractional)
Sm (0.0000, 0.0000, 0.0000)  6 Se 2.93
Sm (0.0000, 0.0000, 0.5000)  6 Se 2.93
Sm (0.3333, 0.6667, 0.1660)  3 Se 2.91, 3 S 2.93
Sm (0.3333, 0.6667, 0.3340)  3 Se 2.91, 3 S 2.93
Sm (0.6667, 0.3333, 0.6660)  3 Se 2.91, 3 S 2.93
Sm (0.6667, 0.3333, 0.8340)  3 Se 2.91, 3 S 2.93
Se (0.3333, 0.6667, 0.5839)  6 Sm 2.91-2.93
Se (0.3333, 0.6667, 0.9161)  6 Sm 2.91-2.93
Se (0.6667, 0.3333, 0.0839)  6 Sm 2.91-2.93
Se (0.6667, 0.3333, 0.4161)  6 Sm 2.91-2.93
S (0.0000, 0.0000, 0.2500)  6 Sm 2.93
S (0.0000, 0.0000, 0.7500)  6 Sm 2.93